(1)
First-principles (GGA-PBEsol) data for a relaxed structure of Li2MgCo3O8, as listed in Alexandria. Values from VASP.

Properties
- ΔE to the lowest computed polymorph (meV per atom) = 6.4
- E_form (uncorrected) (eV per formula unit) = -20.18
- space group = C2/m

```
&SYSTEM
  ibrav = 0, nat = 14, ntyp = 4
/
ATOMIC_SPECIES
Li 6.94 Li.upf
Mg 24.30 Mg.upf
Co 58.93 Co.upf
O 16.00 O.upf
ATOMIC_POSITIONS crystal
Li 0.000 0.000 0.000
Li 0.500 0.500 0.000
Mg 0.000 0.000 0.500
Co 0.000 0.500 0.500
Co 0.500 0.000 0.500
Co 0.500 0.500 0.500
O 0.245 0.714 0.712
O 0.248 0.248 0.704
O 0.266 0.266 0.299
O 0.286 0.755 0.288
O 0.714 0.245 0.712
O 0.734 0.734 0.701
O 0.752 0.752 0.296
O 0.755 0.286 0.288
CELL_PARAMETERS angstrom
4.921 -2.814 0.000
4.921 2.814 0.000
-3.242 0.000 4.749
```

(2)
First-principles (GGA-PBEsol) data for a relaxed structure of Ti3Zn3N, as listed in Alexandria. Values from VASP.

Properties
- E_form (uncorrected) (eV per formula unit) = -5.60
- space group = Fd-3m

```
&SYSTEM
  ibrav = 0, nat = 28, ntyp = 3
/
ATOMIC_SPECIES
Ti 47.87 Ti.upf
Zn 65.41 Zn.upf
N 14.01 N.upf
ATOMIC_POSITIONS crystal
Ti 0.055 0.055 0.695
Ti 0.055 0.695 0.055
Ti 0.055 0.695 0.695
Ti 0.305 0.305 0.945
Ti 0.305 0.945 0.305
Ti 0.305 0.945 0.945
Ti 0.695 0.055 0.055
Ti 0.695 0.055 0.695
Ti 0.695 0.695 0.055
Ti 0.945 0.305 0.305
Ti 0.945 0.305 0.945
Ti 0.945 0.945 0.305
Zn 0.000 0.500 0.500
Zn 0.290 0.290 0.290
Zn 0.290 0.290 0.629
Zn 0.290 0.629 0.290
Zn 0.371 0.710 0.710
Zn 0.500 0.000 0.500
Zn 0.500 0.500 0.000
Zn 0.500 0.500 0.500
Zn 0.629 0.290 0.290
Zn 0.710 0.371 0.710
Zn 0.710 0.710 0.371
Zn 0.710 0.710 0.710
N 0.000 0.000 0.000
N 0.000 0.000 0.500
N 0.000 0.500 0.000
N 0.500 0.000 0.000
CELL_PARAMETERS angstrom
0.000 5.669 5.669
5.669 0.000 5.669
5.669 5.669 0.000
```

(3)
First-principles (GGA-PBEsol) data for a relaxed structure of Ti2CdOsAu, as listed in Alexandria. Values from VASP.

Properties
- energy of formation from the pure elements (eV/atom) = 1.453
- space group = P4/mmm

```
&SYSTEM
  ibrav = 0, nat = 5, ntyp = 4
/
ATOMIC_SPECIES
Ti 47.87 Ti.upf
Cd 112.41 Cd.upf
Os 190.23 Os.upf
Au 196.97 Au.upf
ATOMIC_POSITIONS crystal
Ti 0.000 0.500 0.000
Ti 0.500 0.000 0.000
Cd 0.000 0.000 0.500
Os 0.500 0.500 0.500
Au 0.000 0.000 0.000
CELL_PARAMETERS angstrom
4.740 0.000 0.000
0.000 4.740 0.000
0.000 0.000 4.846
```

(4)
First-principles (GGA-PBEsol) data for a relaxed structure of CsTaCl3, as listed in Alexandria. Values from VASP.

Properties
- E_form (uncorrected) (eV per formula unit) = -4.92
- space group = Pm-3m

```
&SYSTEM
  ibrav = 0, nat = 5, ntyp = 3
/
ATOMIC_SPECIES
Cs 132.91 Cs.upf
Ta 180.95 Ta.upf
Cl 35.45 Cl.upf
ATOMIC_POSITIONS crystal
Cs 0.000 0.000 0.000
Ta 0.500 0.500 0.500
Cl 0.000 0.500 0.500
Cl 0.500 0.000 0.500
Cl 0.500 0.500 0.000
CELL_PARAMETERS angstrom
4.927 0.000 0.000
0.000 4.927 0.000
0.000 0.000 4.927
```

(5)
First-principles (GGA-PBEsol) data for a relaxed structure of CaBeZn2, as listed in Alexandria. Values from VASP.

Properties
- energy of formation from the pure elements (eV/atom) = 0.384
- space group = C2/m

```
&SYSTEM
  ibrav = 0, nat = 4, ntyp = 3
/
ATOMIC_SPECIES
Ca 40.08 Ca.upf
Be 9.01 Be.upf
Zn 65.41 Zn.upf
ATOMIC_POSITIONS crystal
Ca 0.000 0.000 0.000
Be 0.500 0.500 0.000
Zn 0.000 0.500 0.500
Zn 0.500 0.000 0.500
CELL_PARAMETERS angstrom
2.795 -4.598 0.000
2.795 4.598 0.000
-1.028 0.000 2.710
```

(6)
First-principles (GGA-PBEsol) data for a relaxed structure of Ca2ZrSiN, as listed in Alexandria. Values from VASP.

Properties
- E_form (uncorrected) (eV per formula unit) = 4.78
- space group = P4/mmm

```
&SYSTEM
  ibrav = 0, nat = 5, ntyp = 4
/
ATOMIC_SPECIES
Ca 40.08 Ca.upf
Zr 91.22 Zr.upf
Si 28.09 Si.upf
N 14.01 N.upf
ATOMIC_POSITIONS crystal
Ca 0.000 0.500 0.000
Ca 0.500 0.000 0.000
Zr 0.000 0.000 0.500
Si 0.000 0.000 0.000
N 0.500 0.500 0.500
CELL_PARAMETERS angstrom
5.280 0.000 0.000
0.000 5.280 0.000
0.000 0.000 4.985
```